w:
Density functional theory data (PBE-GGA) for a relaxed structure of SrCaLa2Fe.

Cell lengths 5.3255, 5.3255, 6.2203 Å; angles 90.00, 90.00, 90.00 degrees
Atoms (fractional coordinates):
Sr  0.0000  0.0000  0.0000
Ca  0.5000  0.5000  0.0000
La  0.0000  0.5000  0.5000
La  0.5000  0.0000  0.5000
Fe  0.0000  0.0000  0.5000

Calculated values
Symmetry: P4/mmm

---

x:
Density functional theory data (PBE-GGA) for a relaxed structure of SrCaLa2Fe.

Cell lengths 5.3508, 5.3508, 6.0506 Å; angles 90.00, 90.00, 90.00 degrees
Atoms (fractional coordinates):
Sr  0.0000  0.0000  0.0000
Ca  0.5000  0.5000  0.0000
La  0.0000  0.5000  0.5000
La  0.5000  0.0000  0.5000
Fe  0.5000  0.5000  0.5000

Calculated values
Symmetry: P4/mmm

---

x comes first in stability; the runner-up is 0.036 eV/atom higher.

---

w:
Density functional theory data (PBE-GGA) for a relaxed structure of CaLu2Fe.

Cell lengths 3.3157, 3.3157, 9.2963 Å; angles 90.00, 90.00, 90.00 degrees
Atoms (fractional coordinates):
Ca  0.0000  0.0000  0.0000
Lu  0.5000  0.5000  0.3325
Lu  0.5000  0.5000  0.6675
Fe  0.0000  0.0000  0.5000

Calculated values
Symmetry: P4/mmm

---

x:
Density functional theory data (PBE-GGA) for a relaxed structure of CaLu2Fe.

Cell lengths 3.5707, 3.5707, 30.8931 Å; angles 90.00, 90.00, 120.00 degrees
Atoms (fractional coordinates):
Ca  0.0000  0.0000  0.0000
Ca  0.3333  0.6667  0.6667
Ca  0.6667  0.3333  0.3333
Lu  0.0000  0.0000  0.1129
Lu  0.0000  0.0000  0.8871
Lu  0.3333  0.6667  0.5537
Lu  0.3333  0.6667  0.7796
Lu  0.6667  0.3333  0.2204
Lu  0.6667  0.3333  0.4463
Fe  0.0000  0.0000  0.5000
Fe  0.3333  0.6667  0.1667
Fe  0.6667  0.3333  0.8333

Calculated values
Symmetry: R-3m

---

w comes first in stability; the runner-up is 0.253 eV/atom higher.

---

w:
Density functional theory data (PBE-GGA) for a relaxed structure of Ca2MnFe.

Cell lengths 3.7716, 5.0445, 9.6081 Å; angles 90.00, 90.00, 90.00 degrees
Atoms (fractional coordinates):
Ca  0.0000  0.0000  0.0000
Ca  0.0000  0.5000  0.2107
Ca  0.5000  0.0000  0.7107
Ca  0.5000  0.5000  0.5000
Mn  0.0000  0.5000  0.7975
Mn  0.5000  0.0000  0.2975
Fe  0.0000  0.0000  0.4180
Fe  0.5000  0.5000  0.9180

Calculated values
Symmetry: Imm2

---

x:
Density functional theory data (PBE-GGA) for a relaxed structure of Ca2MnFe.

Cell lengths 3.3228, 3.3228, 8.3075 Å; angles 90.00, 90.00, 90.00 degrees
Atoms (fractional coordinates):
Ca  0.0000  0.0000  0.0000
Ca  0.5000  0.5000  0.3963
Mn  0.5000  0.5000  0.7458
Fe  0.0000  0.0000  0.6460

Calculated values
Symmetry: P4mm

---

y:
Density functional theory data (PBE-GGA) for a relaxed structure of Ca2MnFe.

Cell lengths 7.9441, 7.9441, 5.9700 Å; angles 90.00, 90.00, 90.00 degrees
Atoms (fractional coordinates):
Ca  0.2358  0.2500  0.1250
Ca  0.2500  0.7358  0.3750
Ca  0.2500  0.7642  0.8750
Ca  0.2642  0.2500  0.6250
Ca  0.7358  0.7500  0.6250
Ca  0.7500  0.2358  0.8750
Ca  0.7500  0.2642  0.3750
Ca  0.7642  0.7500  0.1250
Mn  0.0000  0.0000  0.5000
Mn  0.0000  0.5000  0.7500
Mn  0.5000  0.0000  0.2500
Mn  0.5000  0.5000  0.0000
Fe  0.0000  0.0000  0.0000
Fe  0.0000  0.5000  0.2500
Fe  0.5000  0.0000  0.7500
Fe  0.5000  0.5000  0.5000

Calculated values
Symmetry: I-42d

---

z:
Density functional theory data (PBE-GGA) for a relaxed structure of Ca2MnFe.

Cell lengths 3.9840, 4.3635, 11.1894 Å; angles 90.00, 90.00, 90.00 degrees
Atoms (fractional coordinates):
Ca  0.0000  0.0000  0.0000
Ca  0.0000  0.5000  0.5000
Ca  0.5000  0.0000  0.2846
Ca  0.5000  0.5000  0.7846
Mn  0.5000  0.0000  0.5841
Mn  0.5000  0.5000  0.0841
Fe  0.0000  0.0000  0.7019
Fe  0.0000  0.5000  0.2019

Calculated values
Symmetry: Amm2

---

x comes first in stability; the runner-up is 0.047 eV/atom higher.

---

w:
Density functional theory data (PBE-GGA) for a relaxed structure of CaFeMo.

Cell lengths 3.1223, 3.1223, 11.5983 Å; angles 90.00, 90.00, 90.00 degrees
Atoms (fractional coordinates):
Ca  0.0000  0.0000  0.0000
Ca  0.5000  0.5000  0.5000
Fe  0.0000  0.0000  0.6967
Fe  0.5000  0.5000  0.1967
Mo  0.0000  0.0000  0.2877
Mo  0.5000  0.5000  0.7877

Calculated values
Symmetry: I4mm

---

x:
Density functional theory data (PBE-GGA) for a relaxed structure of CaFeMo.

Cell lengths 3.4420, 3.4420, 6.2317 Å; angles 90.00, 90.00, 120.00 degrees
Atoms (fractional coordinates):
Ca  0.0000  0.0000  0.0000
Fe  0.6667  0.3333  0.3649
Mo  0.3333  0.6667  0.5420

Calculated values
Symmetry: P3m1

---

y:
Density functional theory data (PBE-GGA) for a relaxed structure of CaFeMo.

Cell lengths 6.1067, 6.1067, 6.1067 Å; angles 90.00, 90.00, 90.00 degrees
Atoms (fractional coordinates):
Ca  0.0000  0.0000  0.0000
Ca  0.0000  0.5000  0.5000
Ca  0.5000  0.0000  0.5000
Ca  0.5000  0.5000  0.0000
Fe  0.2500  0.2500  0.7500
Fe  0.2500  0.7500  0.2500
Fe  0.7500  0.2500  0.2500
Fe  0.7500  0.7500  0.7500
Mo  0.0000  0.0000  0.5000
Mo  0.0000  0.5000  0.0000
Mo  0.5000  0.0000  0.0000
Mo  0.5000  0.5000  0.5000

Calculated values
Symmetry: F-43m

---

w comes first in stability; the runner-up is 0.245 eV/atom higher.